Entry 1:
Below is a geometry-optimized SmZnNiPt3 structure, with properties calculated at the PBE level.

Unit cell a=6.383 b=12.027 c=5.616 alpha=90.00 beta=90.00 gamma=90.00
Space group Cmcm (No. 63)
Symmetry-distinct sites (fractional):
Sm1 0.000 0.206 0.250 x4
Zn1 0.000 0.145 0.750 x4
Ni1 0.000 0.423 0.250 x4
Pt1 0.000 0.350 0.750 x4
Pt2 0.211 0.000 0.000 x8

The calculated formation energy comes out at -465 meV per atom.

Entry 2:
Below is a geometry-optimized SmZn5Ni2Pt structure, with properties calculated at the PBE level.

Unit cell a=4.645 b=4.645 c=6.941 alpha=90.00 beta=90.00 gamma=90.00
Space group P4/mmm (No. 123)
Symmetry-distinct sites (fractional):
Sm1 0.000 0.000 0.000 x1
Zn1 0.000 0.500 0.303 x4
Zn2 0.500 0.500 0.000 x1
Ni1 0.500 0.500 0.333 x2
Pt1 0.000 0.000 0.500 x1

The calculated formation energy comes out at -191 meV per atom.

Entry 3:
Below is a geometry-optimized Sm2ZnNi2Pt5 structure, with properties calculated at the PBE level.

Unit cell a=9.284 b=9.284 c=3.968 alpha=90.00 beta=90.00 gamma=90.00
Space group P4/mbm (No. 127)
Symmetry-distinct sites (fractional):
Sm1 0.176 0.324 0.000 x4
Zn1 0.000 0.000 0.000 x2
Ni1 0.122 0.622 0.000 x4
Pt1 0.000 0.500 0.500 x2
Pt2 0.066 0.795 0.500 x8

The calculated formation energy comes out at -764 meV per atom.

Entry 4:
Below is a geometry-optimized Sm2ZnNi3Pt12 structure, with properties calculated at the PBE level.

Unit cell a=8.1308 b=8.1308 c=18.5343 alpha=90.00 beta=90.00 gamma=120.00
Space group R-3m (No. 166, hexagonal axes)
Symmetry-distinct sites (fractional):
Sm1 0.0000 0.0000 0.1143 x6
Zn1 0.0000 0.0000 0.5000 x3
Ni1 0.0000 0.5000 0.0000 x9
Pt1 0.0086 0.5043 0.8698 x18
Pt2 0.0119 0.5059 0.3738 x18

The calculated formation energy comes out at -42 meV per atom.

Entry 5:
Below is a geometry-optimized NiSn8Pt2 structure, with properties calculated at the PBE level.

Unit cell a=5.555 b=6.870 c=7.240 alpha=105.35 beta=91.82 gamma=98.30
Space group P-1 (No. 2)
Symmetry-distinct sites (fractional):
Ni1 0.000 0.000 0.000 x1
Sn1 0.173 0.690 0.414 x2
Sn2 0.183 0.666 0.960 x2
Sn3 0.289 0.095 0.755 x2
Sn4 0.327 0.192 0.261 x2
Pt1 0.335 0.439 0.631 x2

The calculated formation energy comes out at -230 meV per atom.

Entry 6:
Below is a geometry-optimized NiSnPt structure, with properties calculated at the PBE level.

Unit cell a=4.323 b=4.323 c=5.665 alpha=90.00 beta=90.00 gamma=90.00
Space group P4_2/mmc (No. 131)
Symmetry-distinct sites (fractional):
Ni1 0.000 0.000 0.250 x2
Sn1 0.000 0.500 0.000 x2
Pt1 0.000 0.500 0.500 x2

The calculated formation energy comes out at -259 meV per atom.

Q: Which of these has the highest calculated formation energy?
A: Sm2ZnNi3Pt12

Copy entry 3 word for word.
Below is a geometry-optimized Sm2ZnNi2Pt5 structure, with properties calculated at the PBE level.

Unit cell a=9.284 b=9.284 c=3.968 alpha=90.00 beta=90.00 gamma=90.00
Space group P4/mbm (No. 127)
Symmetry-distinct sites (fractional):
Sm1 0.176 0.324 0.000 x4
Zn1 0.000 0.000 0.000 x2
Ni1 0.122 0.622 0.000 x4
Pt1 0.000 0.500 0.500 x2
Pt2 0.066 0.795 0.500 x8

The calculated formation energy comes out at -764 meV per atom.